Here is a relaxed structure of Pm12SmSc3 from Alexandria via LeMat-Bulk. Energies are from PBE.

The structure in CIF format:
```
data_Pm12SmSc3
_cell_length_a 5.057
_cell_length_b 5.057
_cell_length_c 20.188
_cell_angle_alpha 90.00
_cell_angle_beta 90.00
_cell_angle_gamma 90.00
_space_group_name_H-M_alt 'P 1'
_space_group_IT_number 1
_space_group_name_Hall 'P 1'
loop_
_atom_site_label
_atom_site_type_symbol
_atom_site_fract_x
_atom_site_fract_y
_atom_site_fract_z
Pm1 Pm 0.000 0.000 0.000
Pm2 Pm 0.000 0.000 0.246
Pm3 Pm 0.000 0.000 0.500
Pm4 Pm 0.000 0.000 0.754
Pm5 Pm 0.000 0.500 0.123
Pm6 Pm 0.000 0.500 0.370
Pm7 Pm 0.000 0.500 0.630
Pm8 Pm 0.000 0.500 0.877
Pm9 Pm 0.500 0.000 0.123
Pm10 Pm 0.500 0.000 0.370
Pm11 Pm 0.500 0.000 0.630
Pm12 Pm 0.500 0.000 0.877
Sm1 Sm 0.500 0.500 0.500
Sc1 Sc 0.500 0.500 0.000
Sc2 Sc 0.500 0.500 0.247
Sc3 Sc 0.500 0.500 0.753
```

Output
ΔE_f in eV per atom: 0.03